1.
# LaNdTlIn

A relaxed structure of LaNdTlIn (PBE, Alexandria via LeMat-Bulk).

DFT formation energy   -453 meV/atom

abc: 5.5637 5.5637 5.5637
angles: 60.00 60.00 60.00
With the nearest neighbours (Å) after each atom.
Element x y z (fractional)
Tl (0.0000, 0.0000, 0.0000)  4 La 3.41, 4 Nd 3.41
In (0.5000, 0.5000, 0.5000)  4 Nd 3.41, 4 La 3.41
Nd (0.2500, 0.2500, 0.2500)  4 Tl 3.41, 4 In 3.41
La (0.7500, 0.7500, 0.7500)  4 Tl 3.41, 4 In 3.41



2.
# CuIr2Se

A relaxed structure of CuIr2Se (PBE, Alexandria via LeMat-Bulk).

Uncorrected energy   -5.855 eV per atom

abc: 2.7997 4.7066 4.5708
angles: 90.00 90.00 90.00
With the nearest neighbours (Å) after each atom.
Element x y z (fractional)
Cu (0.0000, 0.5000, 0.5000)  4 Ir 2.68, 4 Se 2.74, 2 Cu 2.80
Ir (0.0000, 0.0000, 0.0000)  4 Se 2.68, 6 Ir 2.74-2.80
Ir (0.5000, 0.5000, 0.0000)  4 Cu 2.68, 6 Ir 2.74-2.80
Se (0.5000, 0.0000, 0.5000)  4 Ir 2.68, 4 Cu 2.74, 2 Se 2.80



3.
# AcGd3

A relaxed structure of AcGd3 (PBE, Alexandria via LeMat-Bulk).

DFT formation energy   31 meV/atom

abc: 3.7547 6.4042 6.9927
angles: 117.25 105.57 90.00
With the nearest neighbours (Å) after each atom.
Element x y z (fractional)
Ac (0.0000, 0.9956, 0.0000)  10 Gd 3.64-3.73, 2 Ac 3.75
Gd (0.2464, 0.5821, 0.4927)  9 Gd 3.63-3.75, 3 Ac 3.64-3.69
Gd (0.5000, 0.4996, 0.0000)  8 Gd 3.63-3.75, 4 Ac 3.69-3.73
Gd (0.7536, 0.0894, 0.5073)  9 Gd 3.63-3.75, 3 Ac 3.64-3.69